! ScWBr3 | the Alexandria database | GGA-PBE | optimized geometry; values from VASP
! E_form (uncorrected) = 0.310 eV per atom
! energy above the most stable polymorph in this dataset = 0.0000 eV per atom
! energy = -4.551 eV per atom
! space group = No. 221
! V = 30.272 Å³ per atom
&SYSTEM
  ibrav = 0, nat = 5, ntyp = 3
/
ATOMIC_SPECIES
Sc 44.96 Sc.upf
W 183.84 W.upf
Br 79.90 Br.upf
ATOMIC_POSITIONS crystal
Sc 0.0000 0.0000 0.0000
W 0.5000 0.5000 0.5000
Br 0.0000 0.0000 0.5000
Br 0.0000 0.5000 0.0000
Br 0.5000 0.0000 0.0000
CELL_PARAMETERS angstrom
5.3293 0.0000 0.0000
0.0000 5.3293 0.0000
0.0000 0.0000 5.3293